Entry from Alexandria via LeMat-Bulk: YP2Cl at its PBEsol-relaxed geometry (meta-GGA SCAN).

Properties
calculated density = 3.2 g/cm³
DOS(E_F) = 0.201 states/eV per cell
uncorrected formation energy = -1.17 eV per atom
ΔE to the lowest computed polymorph = 0.000 eV/atom

Lattice parameters (Å, degrees): 3.492 4.154 6.584 90.12 90.00 90.00
Sites, in units of the cell vectors:
Y1 0.000 0.375 0.411
P1 0.000 0.873 0.083
P2 0.500 0.875 0.290
Cl1 0.500 0.376 0.717

Entry from Alexandria via LeMat-Bulk: YP2Cl at its PBEsol-relaxed geometry (meta-GGA SCAN).

Properties
calculated density = 4.1 g/cm³
DOS(E_F) = 5.128 states/eV per cell
uncorrected formation energy = -0.39 eV per atom
ΔE to the lowest computed polymorph = 0.775 eV/atom

Lattice parameters (Å, degrees): 4.744 4.744 4.744 60.00 60.00 60.00
Sites, in units of the cell vectors:
P1 0.000 0.000 0.000
Y1 0.250 0.250 0.250
P2 0.750 0.750 0.750
Cl1 0.500 0.500 0.500

Entry from Alexandria via LeMat-Bulk: YP2Cl at its PBEsol-relaxed geometry (meta-GGA SCAN).

Properties
calculated density = 3.7 g/cm³
DOS(E_F) = 2.695 states/eV per cell
uncorrected formation energy = -0.89 eV per atom
ΔE to the lowest computed polymorph = 0.277 eV/atom

Lattice parameters (Å, degrees): 3.868 3.868 5.550 90.00 90.00 90.00
Sites, in units of the cell vectors:
Cl1 0.500 0.500 0.500
P1 0.000 0.000 0.191
Y1 0.500 0.500 0.000
P2 0.000 0.000 0.809

Entry from Alexandria via LeMat-Bulk: ZnP2Cl at its PBEsol-relaxed geometry (meta-GGA SCAN).

Properties
calculated density = 3.8 g/cm³
DOS(E_F) = 1.284 states/eV per cell
uncorrected formation energy = 0.32 eV per atom

Lattice parameters (Å, degrees): 3.564 3.564 5.642 90.00 90.00 90.00
Sites, in units of the cell vectors:
Cl1 0.500 0.500 0.500
P1 0.000 0.000 0.184
Zn1 0.500 0.500 0.000
P2 0.000 0.000 0.816

Entry from Alexandria via LeMat-Bulk: ZnPCl2 at its PBEsol-relaxed geometry (meta-GGA SCAN).

Properties
calculated density = 3.3 g/cm³
DOS(E_F) = 1.162 states/eV per cell
uncorrected formation energy = -0.12 eV per atom
ΔE to the lowest computed polymorph = 0.000 eV/atom

Lattice parameters (Å, degrees): 3.366 3.480 8.296 90.00 90.00 118.92
Site moments in Bohr magnetons follow the coordinates.
Sites, in units of the cell vectors:
P1 0.000 0.000 0.524  0.20
Zn1 0.500 0.000 0.736  0.03
Cl1 0.500 0.000 0.316  0.08
Cl2 0.000 0.000 0.924  0.01

Entry from Alexandria via LeMat-Bulk: ZnPCl2 at its PBEsol-relaxed geometry (meta-GGA SCAN).

Properties
calculated density = 3.0 g/cm³
DOS(E_F) = 2.425 states/eV per cell
uncorrected formation energy = 0.13 eV per atom
ΔE to the lowest computed polymorph = 0.253 eV/atom

Lattice parameters (Å, degrees): 3.196 7.100 7.100 35.65 76.99 76.99
Sites, in units of the cell vectors:
P1 0.500 0.000 0.000
Cl1 0.642 0.358 0.358
Cl2 0.358 0.642 0.642
Zn1 0.000 0.500 0.500

Entry from Alexandria via LeMat-Bulk: ZnPCl2 at its PBEsol-relaxed geometry (meta-GGA SCAN).

Properties
calculated density = 4.0 g/cm³
DOS(E_F) = 3.173 states/eV per cell
uncorrected formation energy = 0.58 eV per atom
ΔE to the lowest computed polymorph = 0.705 eV/atom

Lattice parameters (Å, degrees): 4.613 4.613 4.613 60.00 60.00 60.00
Sites, in units of the cell vectors:
Cl1 0.750 0.750 0.750
Zn1 0.250 0.250 0.250
Cl2 0.000 0.000 0.000
P1 0.500 0.500 0.500

Entry from Alexandria via LeMat-Bulk: ZnPCl2 at its PBEsol-relaxed geometry (meta-GGA SCAN).

Properties
calculated density = 3.5 g/cm³
DOS(E_F) = 1.395 states/eV per cell
uncorrected formation energy = 0.24 eV per atom
ΔE to the lowest computed polymorph = 0.359 eV/atom

Lattice parameters (Å, degrees): 3.187 3.245 8.765 90.00 90.00 119.41
Sites, in units of the cell vectors:
Cl1 0.000 0.000 0.707
Cl2 0.000 0.000 0.293
Zn1 0.500 0.000 0.000
P1 0.500 0.000 0.500

Entry from Alexandria via LeMat-Bulk: ZrPCl2 at its PBEsol-relaxed geometry (meta-GGA SCAN).

Properties
calculated density = 4.6 g/cm³
DOS(E_F) = 1.651 states/eV per cell
uncorrected formation energy = -0.43 eV per atom
ΔE to the lowest computed polymorph = 0.593 eV/atom

Lattice parameters (Å, degrees): 3.098 4.433 5.032 90.00 90.00 90.00
Sites, in units of the cell vectors:
Zr1 0.000 0.500 0.500
P1 0.500 0.500 0.000
Cl1 0.500 0.000 0.500
Cl2 0.000 0.000 0.000

Entry from Alexandria via LeMat-Bulk: Zr2PCl at its PBEsol-relaxed geometry (meta-GGA SCAN).

Properties
calculated density = 5.8 g/cm³
DOS(E_F) = 2.663 states/eV per cell
uncorrected formation energy = -1.08 eV per atom

Lattice parameters (Å, degrees): 3.579 3.579 5.533 90.00 90.00 90.00
Sites, in units of the cell vectors:
Zr1 0.000 0.000 0.942
Cl1 0.000 0.000 0.433
Zr2 0.500 0.500 0.309
P1 0.500 0.500 0.816

Entry from Alexandria via LeMat-Bulk: ZrP2Cl at its PBEsol-relaxed geometry (meta-GGA SCAN).

Properties
calculated density = 4.9 g/cm³
DOS(E_F) = 1.495 states/eV per cell
uncorrected formation energy = -0.39 eV per atom
ΔE to the lowest computed polymorph = 0.320 eV/atom

Lattice parameters (Å, degrees): 3.656 3.759 5.350 110.57 109.98 90.00
Sites, in units of the cell vectors:
Cl1 0.500 0.000 0.000
P1 0.251 0.251 0.503
P2 0.749 0.749 0.497
Zr1 0.000 0.500 0.000

Entry from Alexandria via LeMat-Bulk: ZrPCl2 at its PBEsol-relaxed geometry (meta-GGA SCAN).

Properties
calculated density = 3.9 g/cm³
DOS(E_F) = 1.718 states/eV per cell
uncorrected formation energy = -0.59 eV per atom
ΔE to the lowest computed polymorph = 0.433 eV/atom

Lattice parameters (Å, degrees): 3.021 3.021 8.993 90.00 90.00 90.00
Site moments in Bohr magnetons follow the coordinates.
Sites, in units of the cell vectors:
Zr1 0.500 0.500 0.500  0.14
Cl1 0.000 0.000 0.328  0.01
Cl2 0.000 0.000 0.672  0.01
P1 0.500 0.500 0.000  0.33

> Number 9 is which compound?

ZrPCl2

> Number 7 is which compound?

ZnPCl2

> Which of these has the lowest uncorrected formation energy?

number 1